## AsPdBrF6 (PBE)

Data for an optimized crystal structure of AsPdBrF6.

Results
Space-group type: P1, No. 1
Final energy: -36.8 eV/cell
Magnetic moment: 0.00 μB/f.u.

The structure in CIF format:
```
data_AsPdBrF6
_chemical_formula_sum 'As1 Pd1 Br1 F6'
_cell_length_a 5.6663
_cell_length_b 6.5969
_cell_length_c 6.1538
_cell_angle_alpha 79.06
_cell_angle_beta 77.75
_cell_angle_gamma 44.69
_space_group_name_H-M_alt 'P 1'
_space_group_IT_number 1
_space_group_name_Hall 'P 1'
loop_
_atom_site_label
_atom_site_type_symbol
_atom_site_fract_x
_atom_site_fract_y
_atom_site_fract_z
As1 As 0.2856 0.3880 0.5593
Pd1 Pd 0.7908 0.4002 0.0679
Br1 Br 0.2144 0.8780 0.0139
F1 F 0.0736 0.5256 0.3218
F2 F 0.4524 0.0514 0.5158
F3 F 0.4912 0.2478 0.7998
F4 F 0.9133 0.4788 0.7323
F5 F 0.1205 0.7256 0.5972
F6 F 0.6578 0.3045 0.3918
```